DFT (GGA-PBE) results for NdSmAgPt after structural relaxation.

Geometry as POSCAR:
```
NdSmAgPt
1.0
3.910 0.000 0.000
0.000 4.706 0.000
-1.955 0.000 5.493
Nd Sm Ag Pt
1 1 1 1
Cartesian
0.000 0.000 1.534 Nd
1.955 2.353 3.993 Sm
1.955 2.353 0.901 Ag
0.000 0.000 4.559 Pt
```

The energy above the lowest structure with this stoichiometry comes out at 0.000 eV per atom. For the formation enthalpy at 0 K, the calculation gives -707.5 meV/atom.

=====

DFT (GGA-PBE) results for Hf2Al2Zn after structural relaxation.

Geometry as POSCAR:
```
Hf2Al2Zn
1.0
-3.435 0.124 -2.425
-0.214 -4.201 0.088
-5.381 -1.751 3.884
Zn Hf Al
1 2 2
Cartesian
0.000 0.000 0.000 Zn
-5.320 -1.833 0.145 Hf
-3.709 -3.995 1.402 Hf
-2.523 -1.982 -0.176 Al
-6.506 -3.846 1.722 Al
```

The energy above the lowest structure with this stoichiometry comes out at 0.736 eV per atom. For the formation enthalpy at 0 K, the calculation gives 404.5 meV/atom.

=====

DFT (GGA-PBE) results for PuNi4 after structural relaxation.

Geometry as POSCAR:
```
PuNi4
1.0
4.562 0.000 0.000
0.000 4.562 0.000
0.000 0.000 4.562
Ni Pu
4 1
Cartesian
0.000 0.000 0.000 Ni
2.281 0.000 2.281 Ni
0.000 2.281 2.281 Ni
2.281 2.281 0.000 Ni
2.281 2.281 2.281 Pu
```

For the formation enthalpy at 0 K, the calculation gives 1508.2 meV/atom.

=====

DFT (GGA-PBE) results for CuAgAs2 after structural relaxation.

Geometry as POSCAR:
```
CuAgAs2
1.0
-3.423 -1.165 5.080
-4.100 -3.367 3.277
1.929 -3.206 3.192
Ag As Cu
1 2 1
Cartesian
-0.657 -1.888 2.552 Ag
1.551 -3.141 3.254 As
-4.702 -6.503 9.705 As
-2.653 -3.282 5.003 Cu
```

The energy above the lowest structure with this stoichiometry comes out at 0.000 eV per atom. For the formation enthalpy at 0 K, the calculation gives 158.7 meV/atom.

=====

DFT (GGA-PBE) results for CaErTlCu after structural relaxation.

Geometry as POSCAR:
```
CaErTlCu
1.0
5.188 0.000 0.000
2.594 4.493 0.000
2.594 1.498 4.236
Tl Ca Cu Er
1 1 1 1
Cartesian
5.188 2.995 2.118 Tl
7.781 4.493 3.177 Ca
0.000 0.000 0.000 Cu
2.594 1.498 1.059 Er
```

For the formation enthalpy at 0 K, the calculation gives -221.2 meV/atom.

=====

DFT (GGA-PBE) results for TbHoMn after structural relaxation.

Geometry as POSCAR:
```
TbHoMn
1.0
3.479 0.000 0.000
0.000 3.479 0.000
-1.740 -1.740 6.331
Mn Tb Ho
1 1 1
Cartesian
1.740 1.740 2.123 Mn
0.000 0.000 0.375 Tb
0.000 0.000 3.833 Ho
```

For the formation enthalpy at 0 K, the calculation gives 149.3 meV/atom.

=====

DFT (GGA-PBE) results for Li5Np3Se12 after structural relaxation.

Geometry as POSCAR:
```
Li5Np3Se12
1.0
-4.156 -11.376 -6.108
7.445 -3.173 10.886
-10.788 7.261 3.860
Np Se Li
12 48 20
Cartesian
-1.674 -8.815 -0.016 Np
0.598 -11.427 3.303 Np
-2.718 -2.108 8.287 Np
-4.154 -0.518 1.281 Np
-5.403 -8.536 -3.018 Np
0.397 -4.434 5.478 Np
-7.897 -2.855 3.160 Np
-2.097 1.247 11.657 Np
-3.346 -6.771 7.357 Np
-4.782 -5.181 0.352 Np
-8.098 4.138 5.335 Np
-5.826 1.526 8.654 Np
-2.556 -8.335 -2.761 Se
-1.717 -2.421 5.619 Se
-4.182 -9.970 -0.785 Se
-2.070 -5.998 -0.366 Se
-4.338 -4.118 6.917 Se
-1.488 -11.376 1.257 Se
-0.006 -3.165 8.016 Se
4.943 -2.868 9.902 Se
-2.663 -4.762 9.367 Se
-0.525 -8.867 2.671 Se
-3.792 -7.577 1.573 Se
2.836 -11.904 5.121 Se
-1.096 0.142 9.209 Se
0.595 -4.794 2.642 Se
2.508 -1.294 10.805 Se
-7.002 -0.837 1.244 Se
-1.515 0.057 2.241 Se
2.246 -6.635 4.948 Se
0.401 -10.275 5.920 Se
1.558 -2.229 3.952 Se
-2.784 -1.537 11.095 Se
-2.111 -5.708 4.931 Se
-3.611 -9.018 5.508 Se
-10.611 -3.219 2.313 Se
-5.389 -1.581 3.708 Se
-3.889 1.730 3.130 Se
3.111 -4.070 6.325 Se
-7.901 2.986 2.718 Se
-4.716 -5.751 -2.456 Se
-9.058 -5.060 4.686 Se
-9.746 -0.654 3.690 Se
-0.498 -6.452 7.394 Se
-5.985 -7.346 6.398 Se
-10.008 -5.995 -2.167 Se
-6.404 -7.430 -0.571 Se
-10.336 4.615 3.517 Se
-8.095 -2.495 5.996 Se
-4.837 -2.527 -0.729 Se
-6.975 1.578 5.968 Se
-3.708 0.288 7.066 Se
-12.443 -4.421 -1.264 Se
-7.494 -4.124 0.622 Se
-5.431 -1.291 9.004 Se
-6.012 4.087 7.382 Se
-3.162 -3.171 1.721 Se
-3.318 2.682 9.423 Se
-5.783 -4.868 3.019 Se
-4.944 1.046 11.399 Se
-0.425 -0.797 4.284 Li
3.722 -1.587 5.443 Li
0.000 0.000 0.000 Li
-1.046 -4.152 0.914 Li
-7.472 -2.058 -1.124 Li
1.644 -7.275 2.389 Li
1.018 -1.079 8.849 Li
-11.626 -2.576 0.157 Li
-2.510 -7.793 3.671 Li
-8.719 0.783 1.965 Li
1.219 -8.072 6.673 Li
-3.750 -3.644 4.319 Li
-2.078 -5.688 -3.054 Li
-5.394 3.630 1.930 Li
-4.990 0.504 4.968 Li
4.126 -4.713 8.481 Li
-1.672 2.044 7.373 Li
-8.518 -6.210 -0.210 Li
-6.454 -3.137 7.725 Li
-7.075 -6.492 4.355 Li
```

As for the uncorrected formation energy: -0.74 eV per atom.

=====

DFT (GGA-PBE) results for VMo2Pt after structural relaxation.

Geometry as POSCAR:
```
VMo2Pt
1.0
4.138 0.000 0.000
0.000 3.829 0.000
0.000 0.000 3.829
Mo Pt V
2 1 1
Cartesian
0.000 0.000 1.915 Mo
0.000 1.915 0.000 Mo
2.069 0.000 0.000 Pt
2.069 1.915 1.915 V
```

The energy above the lowest structure with this stoichiometry comes out at 0.000 eV per atom. For the formation enthalpy at 0 K, the calculation gives -153.3 meV/atom.

=====

DFT (GGA-PBE) results for ZrTcMo2 after structural relaxation.

Geometry as POSCAR:
```
ZrTcMo2
1.0
-3.210 3.286 -2.710
-1.072 -1.349 -5.047
-0.322 -1.555 5.091
Mo Tc Zr
2 1 1
Cartesian
-4.245 1.920 -7.690 Mo
-2.835 1.350 -0.747 Mo
-2.172 0.982 -3.935 Tc
-1.774 -0.965 -1.928 Zr
```

The energy above the lowest structure with this stoichiometry comes out at 0.057 eV per atom. For the formation enthalpy at 0 K, the calculation gives -63.7 meV/atom.

=====

DFT (GGA-PBE) results for NbTlFe3 after structural relaxation.

Geometry as POSCAR:
```
NbTlFe3
1.0
4.770 0.000 0.000
0.000 4.770 0.000
0.000 0.000 4.770
Tl Nb Fe
1 1 3
Cartesian
0.000 0.000 0.000 Tl
2.385 2.385 2.385 Nb
0.000 2.385 0.000 Fe
0.000 0.000 2.385 Fe
2.385 0.000 0.000 Fe
```

The energy above the lowest structure with this stoichiometry comes out at 0.488 eV per atom. For the formation enthalpy at 0 K, the calculation gives 1859.8 meV/atom.

=====

DFT (GGA-PBE) results for GaHgMo after structural relaxation.

Geometry as POSCAR:
```
GaHgMo
1.0
-3.878 -0.452 3.838
1.069 -3.115 0.712
4.576 2.402 3.639
Ga Hg Mo
2 2 2
Cartesian
1.963 1.037 5.577 Ga
-0.197 -2.204 2.612 Ga
-0.517 -0.002 4.753 Hg
2.283 -1.165 3.437 Hg
4.002 1.300 3.666 Mo
-2.235 -2.466 4.524 Mo
```

The energy above the lowest structure with this stoichiometry comes out at 0.182 eV per atom. For the formation enthalpy at 0 K, the calculation gives 211.9 meV/atom.

=====

DFT (GGA-PBE) results for In2Sn2Pb after structural relaxation.

Geometry as POSCAR:
```
In2Sn2Pb
1.0
-8.193 -0.557 3.229
-2.876 -2.945 -7.805
0.652 -3.446 1.060
Pb Sn In
2 4 4
Cartesian
0.000 0.000 0.000 Pb
-5.534 -1.751 -2.288 Pb
-2.913 -3.766 -4.117 Sn
-7.512 -4.558 -3.864 Sn
-7.503 -3.183 0.602 Sn
-2.905 -2.390 0.349 Sn
-5.483 -2.752 -5.574 In
-8.915 -2.351 -2.158 In
-5.586 -0.750 0.999 In
-2.154 -1.151 -2.417 In
```

The energy above the lowest structure with this stoichiometry comes out at 0.045 eV per atom. For the formation enthalpy at 0 K, the calculation gives 73.5 meV/atom.